SrMgRuAu2 (GGA-PBE, relaxed); energy of formation from the pure elements = 55 meV per atom; symmetry = P4/mmm, No. 123; size of the total moment = 0.000 μB/atom
1.0
5.174 0.000 0.000
0.000 4.798 0.000
0.000 0.000 5.174
Ru Mg Au Sr
1 1 2 1
Cartesian
0.000 0.000 0.000
0.000 2.399 0.000
0.000 0.000 2.587
2.587 0.000 0.000
2.587 2.399 2.587

---

SrBiH2W (GGA-PBE, relaxed); calculated total energy = -19.34 eV/cell; symmetry = P4/mmm, No. 123; size of the total moment = 0.529 μB/atom
1.0
-0.529 1.982 3.776
-5.950 -2.325 0.387
1.492 -3.478 2.035
Sr Bi W H
1 1 1 2
Cartesian
-2.975 -1.163 0.193
-2.494 -1.911 3.099
0.000 0.000 0.000
0.746 -1.739 1.018
-0.265 0.991 1.888

---

Y2Ho2Mg (GGA-PBE, relaxed); energy of formation from the pure elements = -20 meV per atom; symmetry = I4/mmm, No. 139; size of the total moment = 0.004 μB/atom
1.0
-1.950 2.994 0.111
-6.001 -3.897 -0.324
5.225 0.828 11.895
Y Ho Mg
4 4 2
Cartesian
-1.703 -1.461 9.451
1.297 0.488 9.613
-1.023 1.385 2.232
-4.024 -0.564 2.070
-1.601 -1.212 4.553
-4.126 -0.812 6.968
-1.125 1.136 7.130
1.400 0.736 4.715
-1.500 -0.974 -0.081
-6.451 0.071 -0.132